Here is crystalline TiZn2Tc at its relaxed geometry from Alexandria. Energies are from PBE.

abc: 4.3586 4.3586 4.3586
angles: 60.00 60.00 60.00
Element x y z (fractional)
Zn  0.2500  0.2500  0.2500
Zn  0.7500  0.7500  0.7500
Tc  0.5000  0.5000  0.5000
Ti  0.0000  0.0000  0.0000

## Properties
- Distance to the lowest polymorph of the same formula: 0.80 eV/f.u.
- E_form: -0.07 eV/f.u.
- Crystal system: cubic
- Density of states at the Fermi level: 0.91 states/eV per atom